Entry 1:
A plane-wave DFT calculation with meta-GGA SCAN was carried out for a PBEsol-optimized structure of Sc2WSe.

Output
The space-group type is No. 38. As for the formation energy from raw total energies: -331 meV per atom. Its density of states at the Fermi level is 4.36 states/eV per cell.

Unit cell a=3.393 b=4.378 c=5.266 alpha=90.00 beta=108.79 gamma=90.00
Sites, in units of the cell vectors:
Sc 0.108 0.000 0.215
Sc 0.400 0.500 0.800
Se 0.826 0.000 0.652
W 0.670 0.500 0.340



Entry 2:
A plane-wave DFT calculation with meta-GGA SCAN was carried out for a PBEsol-optimized structure of Sc2W2Se.

Output
The space-group type is No. 139. As for the formation energy from raw total energies: -176 meV per atom. Its density of states at the Fermi level is 2.27 states/eV per cell.

Unit cell a=3.564 b=3.564 c=8.354 alpha=102.32 beta=102.32 gamma=90.00
Sites, in units of the cell vectors:
Sc 0.397 0.397 0.794
Sc 0.603 0.603 0.206
Se 0.000 0.000 0.000
W 0.250 0.750 0.500
W 0.750 0.250 0.500



Entry 3:
A plane-wave DFT calculation with meta-GGA SCAN was carried out for a PBEsol-optimized structure of Sc4WSe.

Output
The space-group type is No. 216. As for the formation energy from raw total energies: 611 meV per atom. Its density of states at the Fermi level is 6.08 states/eV per cell.

Unit cell a=5.523 b=5.523 c=5.523 alpha=60.00 beta=60.00 gamma=60.00
Sites, in units of the cell vectors:
Sc 0.372 0.372 0.372
Sc 0.372 0.372 0.884
Sc 0.884 0.372 0.372
Sc 0.372 0.884 0.372
Se 0.750 0.750 0.750
W 0.000 0.000 0.000



Entry 4:
A plane-wave DFT calculation with meta-GGA SCAN was carried out for a PBEsol-optimized structure of YScSe2.

Output
As for the polymorph energy (0 for the lowest one): 0.0000 eV per atom. The space-group type is No. 166. As for the formation energy from raw total energies: -1869 meV per atom. Its density of states at the Fermi level is 2.04 states/eV per cell.

Unit cell a=3.912 b=3.912 c=6.817 alpha=73.33 beta=73.33 gamma=60.00
Sites, in units of the cell vectors:
Y 0.500 0.500 0.500
Sc 0.000 0.000 0.000
Se 0.255 0.255 0.234
Se 0.745 0.745 0.766



Entry 5:
A plane-wave DFT calculation with meta-GGA SCAN was carried out for a PBEsol-optimized structure of YScSe2.

Output
As for the polymorph energy (0 for the lowest one): 0.0505 eV per atom. The space-group type is No. 44. As for the formation energy from raw total energies: -1819 meV per atom. Its density of states at the Fermi level is 1.60 states/eV per cell.

Unit cell a=3.637 b=3.693 c=6.955 alpha=105.40 beta=105.16 gamma=90.00
Each line ends with the local moment (μB).
Sites, in units of the cell vectors:
Y 0.545 0.545 0.090  0.47
Sc 0.292 0.792 0.584  0.57
Se 0.950 0.950 0.900  -0.02
Se 0.713 0.213 0.426  -0.02



Entry 6:
A plane-wave DFT calculation with meta-GGA SCAN was carried out for a PBEsol-optimized structure of YScSe.

Output
The space-group type is No. 216. As for the formation energy from raw total energies: -78 meV per atom. Its density of states at the Fermi level is 2.31 states/eV per cell.

Unit cell a=4.743 b=4.743 c=4.743 alpha=60.00 beta=60.00 gamma=60.00
Each line ends with the local moment (μB).
Sites, in units of the cell vectors:
Sc 0.750 0.750 0.750  1.38
Se 0.000 0.000 0.000  -0.06
Y 0.500 0.500 0.500  1.45



Entry 7:
A plane-wave DFT calculation with meta-GGA SCAN was carried out for a PBEsol-optimized structure of YScSe2.

Output
As for the polymorph energy (0 for the lowest one): 0.0225 eV per atom. The space-group type is No. 123. As for the formation energy from raw total energies: -1847 meV per atom. Its density of states at the Fermi level is 2.20 states/eV per cell.

Unit cell a=3.932 b=3.932 c=5.569 alpha=90.00 beta=90.00 gamma=90.00
Sites, in units of the cell vectors:
Y 0.000 0.000 0.375
Sc 0.500 0.500 0.875
Se 0.000 0.000 0.875
Se 0.500 0.500 0.375



Entry 8:
A plane-wave DFT calculation with meta-GGA SCAN was carried out for a PBEsol-optimized structure of ScZnSe2.

Output
The space-group type is No. 10. As for the formation energy from raw total energies: -916 meV per atom. Its density of states at the Fermi level is 1.60 states/eV per cell.

Unit cell a=3.416 b=3.462 c=6.584 alpha=100.83 beta=90.00 gamma=90.00
Sites, in units of the cell vectors:
Sc 0.500 0.500 0.000
Se 0.000 0.872 0.762
Se 0.000 0.128 0.238
Zn 0.500 0.500 0.500